# K2LaW

K2LaW after structural relaxation (PBE, the Alexandria database).

Calculated values
- Space group: Imm2, No. 44
- ΔE to the lowest computed polymorph: 342 meV/atom

Cell and atoms, written as POSCAR:
```
K2LaW
1.0
6.778 -0.043 -0.011
2.147 6.429 0.011
-3.645 -4.336 3.722
La W K
1 1 2
direct
0.424 0.424 0.000
0.312 0.812 0.500
0.037 0.037 0.000
0.728 0.228 0.500
```


# Ba2CdRhC

Ba2CdRhC after structural relaxation (PBE, the Alexandria database).

Calculated values
- Space group: P4/mmm, No. 123
- Uncorrected energy: -21.60 eV/f.u.

Cell and atoms, written as POSCAR:
```
Ba2CdRhC
1.0
-2.408 -1.743 -5.189
5.209 -2.471 -1.587
-1.105 -3.392 1.652
Ba Cd Rh C
2 1 1 1
direct
0.000 0.500 0.000
0.500 0.000 0.000
0.500 0.500 0.500
0.000 0.000 0.500
0.000 0.000 0.000
```


# Cs8HgAu2F

Cs8HgAu2F after structural relaxation (PBE, the Alexandria database).

Calculated values
- Space group: P2/m, No. 10
- Energy relative to the elements, uncorrected: -543 meV per atom

Cell and atoms, written as POSCAR:
```
Cs8HgAu2F
1.0
-1.792 -5.506 6.419
-2.827 -5.966 -5.303
9.608 -3.939 -0.699
Cs Au F Hg
8 2 1 1
direct
0.167 0.782 0.209
0.352 0.286 0.500
0.167 0.782 0.791
0.295 0.252 0.000
0.833 0.218 0.791
0.833 0.218 0.209
0.705 0.748 0.000
0.648 0.714 0.500
0.500 0.500 0.780
0.500 0.500 0.220
0.000 0.000 0.000
0.000 0.000 0.500
```


# LiReSbTe2

LiReSbTe2 after structural relaxation (PBE, the Alexandria database).

Calculated values
- Space group: P4/mmm, No. 123
- ΔE to the lowest computed polymorph: 0 meV/atom
- Energy relative to the elements, uncorrected: 501 meV per atom

Cell and atoms, written as POSCAR:
```
LiReSbTe2
1.0
5.466 0.000 0.000
0.000 5.466 0.000
0.000 0.000 5.134
Sb Te Re Li
1 2 1 1
direct
0.000 0.000 0.500
0.500 0.000 0.000
0.000 0.500 0.000
0.000 0.000 0.000
0.500 0.500 0.500
```